Below is ZrWN2F after structural relaxation, with properties calculated at the PBE with a Hubbard U level.

Cell and atoms, written as POSCAR:
```
ZrWN2F
1.0
4.1072 0.0000 0.0000
0.0000 4.1072 0.0000
0.0000 0.0000 3.9742
N Zr W F
2 1 1 1
direct
0.0000 0.5000 0.0000
0.5000 0.0000 0.0000
0.5000 0.5000 0.5000
0.0000 0.0000 0.0000
0.0000 0.0000 0.5000
```

Results
SG: P4/mmm, No. 123
Uncorrected energy (eV/cell): -35.98
Energy above the most stable polymorph in this dataset (meV per atom): 0